(1)
Rb2ScAg2Se4 after structural relaxation. Source: the Alexandria database, functional GGA-PBE.

Values from the calculation:
theoretical density	5021	kg/m³
formation energy without anion corrections	-811	kJ/mol of formula units

Structure (POSCAR):
```
Rb2ScAg2Se4
1.0
4.087 0.000 0.000
0.000 8.231 0.435
-2.044 -2.856 7.196
Ag Rb Se Sc
2 2 4 1
direct
0.680 0.977 0.359 Ag
0.320 0.023 0.641 Ag
0.869 0.433 0.738 Rb
0.131 0.567 0.262 Rb
0.508 0.776 0.016 Se
0.812 0.812 0.623 Se
0.492 0.224 0.984 Se
0.188 0.188 0.377 Se
0.000 0.000 0.000 Sc
```

---

(2)
ErHfSb2 after structural relaxation. Source: the Alexandria database, functional GGA-PBE.

Values from the calculation:
theoretical density	9113	kg/m³
formation energy without anion corrections	-262	kJ/mol of formula units

Structure (POSCAR):
```
ErHfSb2
1.0
4.128 0.000 0.000
2.064 3.575 0.000
2.064 1.192 7.277
Sb Hf Er
2 1 1
direct
0.246 0.246 0.262 Sb
0.087 0.087 0.740 Sb
0.498 0.498 0.506 Hf
0.669 0.669 0.992 Er
```

---

(3)
LaScRu2 after structural relaxation. Source: the Alexandria database, functional GGA-PBE.

Values from the calculation:
theoretical density	8049	kg/m³
energy of formation from the pure elements	-0.10	eV/atom

Structure (POSCAR):
```
LaScRu2
1.0
-3.406 1.756 -4.636
0.319 -2.388 -5.512
-0.921 -0.785 5.892
La Ru Sc
1 2 1
direct
0.235 0.735 0.500 La
0.980 0.980 0.000 Ru
0.778 0.278 0.500 Ru
0.507 0.507 0.000 Sc
```

---

(4)
TmCuC after structural relaxation. Source: the Alexandria database, functional GGA-PBE.

Values from the calculation:
theoretical density	9213	kg/m³
energy of formation from the pure elements	-0.25	eV/atom

Structure (POSCAR):
```
TmCuC
1.0
-2.006 -1.452 -3.650
0.953 0.451 -4.301
7.516 -2.028 8.960
C Cu Tm
2 2 2
direct
0.785 0.918 0.433 C
0.215 0.082 0.567 C
0.002 0.136 0.932 Cu
0.998 0.864 0.068 Cu
0.223 0.614 0.303 Tm
0.777 0.386 0.697 Tm
```

---

(5)
AcErTl after structural relaxation. Source: the Alexandria database, functional GGA-PBE.

Values from the calculation:
theoretical density	9393	kg/m³
energy of formation from the pure elements	0.06	eV/atom

Structure (POSCAR):
```
AcErTl
1.0
-0.066 -1.546 3.320
-0.783 -5.391 -2.526
9.540 -1.211 -0.373
Ac Er Tl
2 2 2
direct
0.500 0.500 0.563 Ac
0.000 0.000 0.437 Ac
0.000 0.500 0.206 Er
0.500 0.000 0.794 Er
0.000 0.000 0.073 Tl
0.500 0.500 0.927 Tl
```

---

(6)
Ac3AsN after structural relaxation. Source: the Alexandria database, functional GGA-PBE.

Values from the calculation:
theoretical density	8379	kg/m³
formation energy without anion corrections	-342	kJ/mol of formula units

Structure (POSCAR):
```
Ac3AsN
1.0
-2.122 5.192 -4.161
-2.032 -6.194 -6.692
-2.265 0.078 7.113
N Ac As
2 6 2
direct
0.194 0.944 0.389 N
0.806 0.056 0.611 N
0.069 0.323 0.138 Ac
0.497 0.190 0.493 Ac
0.996 0.190 0.493 Ac
0.004 0.810 0.507 Ac
0.503 0.810 0.507 Ac
0.931 0.677 0.862 Ac
0.416 0.669 0.832 As
0.584 0.331 0.168 As
```

---

(7)
CdH12C2S2N8Cl2 after structural relaxation. Source: the Alexandria database, functional GGA-PBE.

Values from the calculation:
calculated total energy	-287.08	eV/cell
theoretical density	2055	kg/m³

Structure (POSCAR):
```
CdH12C2S2N8Cl2
1.0
6.115 0.000 0.000
0.000 8.776 -0.046
0.000 7.328 11.879
C S Cl H N Cd
4 4 4 24 16 2
direct
0.614 0.915 0.416 C
0.114 0.085 0.084 C
0.386 0.085 0.584 C
0.886 0.915 0.916 C
0.875 0.169 0.101 S
0.375 0.831 0.399 S
0.625 0.169 0.601 S
0.125 0.831 0.899 S
0.800 0.590 0.323 Cl
0.300 0.410 0.177 Cl
0.200 0.410 0.677 Cl
0.700 0.590 0.823 Cl
0.059 0.803 0.711 H
0.035 0.831 0.209 H
0.204 0.381 0.856 H
0.811 0.286 0.354 H
0.403 0.114 0.003 H
0.296 0.381 0.356 H
0.097 0.114 0.503 H
0.559 0.197 0.789 H
0.903 0.886 0.497 H
0.404 0.424 0.919 H
0.704 0.619 0.644 H
0.465 0.831 0.709 H
0.535 0.169 0.291 H
0.965 0.169 0.791 H
0.189 0.714 0.646 H
0.689 0.286 0.854 H
0.941 0.197 0.289 H
0.904 0.576 0.581 H
0.597 0.886 0.997 H
0.596 0.576 0.081 H
0.096 0.424 0.419 H
0.796 0.619 0.144 H
0.441 0.803 0.211 H
0.311 0.714 0.146 H
0.248 0.364 0.432 N
0.654 0.168 0.858 N
0.846 0.168 0.358 N
0.774 0.818 0.489 N
0.748 0.636 0.068 N
0.752 0.636 0.568 N
0.352 0.908 0.648 N
0.648 0.092 0.352 N
0.154 0.832 0.642 N
0.226 0.182 0.511 N
0.274 0.182 0.011 N
0.346 0.832 0.142 N
0.252 0.364 0.932 N
0.852 0.092 0.852 N
0.726 0.818 0.989 N
0.148 0.908 0.148 N
0.000 0.500 0.000 Cd
0.500 0.500 0.500 Cd
```

---

(8)
RbCaPd2 after structural relaxation. Source: the Alexandria database, functional GGA-PBE.

Values from the calculation:
theoretical density	3987	kg/m³
energy of formation from the pure elements	0.01	eV/atom

Structure (POSCAR):
```
RbCaPd2
1.0
-1.001 0.727 5.358
-5.406 -0.006 -1.009
-3.420 -8.879 3.388
Rb Pd Ca
2 4 2
direct
0.750 0.250 0.500 Rb
0.000 0.000 0.000 Rb
0.375 0.649 0.750 Pd
0.875 0.601 0.750 Pd
0.351 0.125 0.250 Pd
0.399 0.625 0.250 Pd
0.250 0.750 0.500 Ca
0.500 0.500 0.000 Ca
```

---

(9)
Al2CdW after structural relaxation. Source: the Alexandria database, functional GGA-PBE.

Values from the calculation:
theoretical density	8454	kg/m³
energy of formation from the pure elements	0.31	eV/atom

Structure (POSCAR):
```
Al2CdW
1.0
3.506 0.000 0.000
0.000 3.506 0.000
0.000 0.000 5.596
W Al Cd
1 2 1
direct
0.500 0.500 0.779 W
0.500 0.500 0.249 Al
0.000 0.000 0.979 Al
0.000 0.000 0.493 Cd
```

---

(10)
Hf2TaCd after structural relaxation. Source: the Alexandria database, functional GGA-PBE.

Values from the calculation:
theoretical density	12794	kg/m³
energy of formation from the pure elements	0.03	eV/atom

Structure (POSCAR):
```
Hf2TaCd
1.0
3.062 0.000 0.000
0.000 3.056 -0.177
0.000 0.522 8.990
Cd Hf Ta
1 2 1
direct
0.500 0.500 0.500 Cd
0.000 0.000 0.235 Hf
0.000 0.000 0.765 Hf
0.500 0.500 0.000 Ta
```

---

(11)
ThAl3Pt3 after structural relaxation. Source: the Alexandria database, functional GGA-PBE.

Values from the calculation:
theoretical density	10409	kg/m³
energy of formation from the pure elements	-0.90	eV/atom

Structure (POSCAR):
```
ThAl3Pt3
1.0
-0.453 -4.385 0.224
2.685 -0.697 -8.203
5.746 -0.262 6.473
Pt Th Al
6 2 6
direct
0.750 0.944 0.371 Pt
0.250 0.056 0.629 Pt
0.750 0.629 0.573 Pt
0.750 0.427 0.056 Pt
0.250 0.573 0.944 Pt
0.250 0.371 0.427 Pt
0.750 0.333 0.667 Th
0.250 0.667 0.333 Th
0.750 0.954 0.688 Al
0.250 0.046 0.312 Al
0.750 0.312 0.266 Al
0.250 0.266 0.954 Al
0.750 0.734 0.046 Al
0.250 0.688 0.734 Al
```

---

(12)
Zn3MoRh4 after structural relaxation. Source: the Alexandria database, functional GGA-PBE.

Values from the calculation:
theoretical density	10331	kg/m³
energy of formation from the pure elements	-0.34	eV/atom

Structure (POSCAR):
```
Zn3MoRh4
1.0
-3.078 0.447 -2.842
2.036 -5.225 -3.027
-5.086 -4.741 4.761
Rh Zn Mo
8 6 2
direct
0.000 0.751 0.750 Rh
0.500 0.751 0.000 Rh
0.000 0.751 0.250 Rh
0.500 0.249 0.000 Rh
0.000 0.249 0.250 Rh
0.000 0.249 0.750 Rh
0.500 0.751 0.500 Rh
0.500 0.249 0.500 Rh
0.000 0.000 0.000 Zn
0.500 0.000 0.750 Zn
0.500 0.000 0.250 Zn
0.000 0.000 0.500 Zn
0.500 0.500 0.250 Zn
0.500 0.500 0.750 Zn
0.000 0.500 0.000 Mo
0.000 0.500 0.500 Mo
```

---

In the order shown, the computed M_tot values come out to 0.00 0.00 0.00 0.00 0.00 0.00 0.00 0.00 0.00 0.00 0.00 0.00 μB per formula unit.